Record 1
Computed, not measured: crystalline ZnB2Cl at its relaxed geometry at the PBE-GGA level of DFT.

a b c (Å): 6.0263 6.0263 6.0263
angles (deg): 130.88 130.88 72.00
Fractional coordinates of all 8 atoms:
Zn1 0.0000 0.0000 0.0000
Zn2 0.7500 0.2500 0.5000
B1 0.1044 0.6250 0.9794
B2 0.3750 0.3544 0.4794
B3 0.6456 0.1250 0.0206
B4 0.8750 0.8956 0.5206
Cl1 0.2500 0.7500 0.5000
Cl2 0.5000 0.5000 0.0000

Properties
DOS(E_F)	2.31	states/eV/f.u.
raw formation energy	1294	meV/atom
spin magnetization	0.00	μB/atom
excess energy over the best structure of this formula in the dataset	0.0	kJ/mol of atoms
mass density	3.32	Mg/m³
uncorrected energy	-0.1038	Ha/atom
space group	I-42d, No. 122

***

Record 2
Computed, not measured: crystalline BaRePO2 at its relaxed geometry at the PBE-GGA level of DFT.

a b c (Å): 4.2767 4.2767 6.7494
angles (deg): 90.00 90.00 90.00
Fractional coordinates of all 5 atoms:
Ba1 0.0000 0.0000 0.0000
Re1 0.5000 0.5000 0.5000
P1 0.0000 0.0000 0.5000
O1 0.0000 0.5000 0.0000
O2 0.5000 0.0000 0.0000

Properties
DOS(E_F)	4.83	states/eV/f.u.
raw formation energy	991	meV/atom
spin magnetization	0.73	μB/atom
excess energy over the best structure of this formula in the dataset	200.7	kJ/mol of atoms
mass density	5.20	Mg/m³
uncorrected energy	-0.1819	Ha/atom
space group	P4/mmm, No. 123

***

Record 3
Computed, not measured: crystalline Ga3GeSb at its relaxed geometry at the PBE-GGA level of DFT.

a b c (Å): 5.2994 5.2994 5.2994
angles (deg): 90.00 90.00 90.00
Fractional coordinates of all 5 atoms:
Ga1 0.0000 0.0000 0.5000
Ga2 0.0000 0.5000 0.0000
Ga3 0.5000 0.0000 0.0000
Ge1 0.5000 0.5000 0.5000
Sb1 0.0000 0.0000 0.0000

Properties
DOS(E_F)	4.43	states/eV/f.u.
raw formation energy	740	meV/atom
spin magnetization	0.00	μB/atom
excess energy over the best structure of this formula in the dataset	41.8	kJ/mol of atoms
mass density	4.50	Mg/m³
uncorrected energy	-0.1038	Ha/atom
space group	Pm-3m, No. 221

***

Record 4
Computed, not measured: crystalline Tb3CeRu3 at its relaxed geometry at the PBE-GGA level of DFT.

a b c (Å): 6.8970 6.8970 6.7597
angles (deg): 90.63 90.63 89.33
Fractional coordinates of all 14 atoms:
Tb1 0.1835 0.8165 0.0000
Tb2 0.2733 0.7267 0.5000
Tb3 0.3169 0.3169 0.0825
Tb4 0.6831 0.6831 0.9175
Tb5 0.7267 0.2733 0.5000
Tb6 0.8165 0.1835 0.0000
Ce1 0.2293 0.2293 0.6036
Ce2 0.7707 0.7707 0.3964
Ru1 0.0097 0.4960 0.7525
Ru2 0.0699 0.0699 0.3101
Ru3 0.4960 0.0097 0.7525
Ru4 0.5040 0.9903 0.2475
Ru5 0.9301 0.9301 0.6899
Ru6 0.9903 0.5040 0.2475

Properties
DOS(E_F)	5.15	states/eV/f.u.
spin magnetization	0.00	μB/atom
excess energy over the best structure of this formula in the dataset	8.0	kJ/mol of atoms
formation energy	-0.30	eV/atom
mass density	9.51	Mg/m³
uncorrected energy	-0.2610	Ha/atom
space group	C2/m, No. 12

***

Record 5
Computed, not measured: crystalline KTm4ThS8 at its relaxed geometry at the PBE-GGA level of DFT.

a b c (Å): 8.2397 8.2397 8.2397
angles (deg): 58.74 58.74 58.74
Fractional coordinates of all 14 atoms:
K1 0.0000 0.0000 0.0000
Tm1 0.1195 0.6335 0.6335
Tm2 0.2578 0.2578 0.2578
Tm3 0.6335 0.1195 0.6335
Tm4 0.6335 0.6335 0.1195
Th1 0.6336 0.6336 0.6336
S1 0.3826 0.3826 0.8607
S2 0.3826 0.8607 0.3826
S3 0.3885 0.3885 0.3885
S4 0.4273 0.8684 0.8684
S5 0.8607 0.3826 0.3826
S6 0.8616 0.8616 0.8616
S7 0.8684 0.4273 0.8684
S8 0.8684 0.8684 0.4273

Properties
DOS(E_F)	3.83	states/eV/f.u.
raw formation energy	-1858	meV/atom
spin magnetization	0.00	μB/atom
mass density	5.20	Mg/m³
uncorrected energy	-0.2243	Ha/atom
space group	R3m, No. 160

***

Record 6
Computed, not measured: crystalline Bi3WSe at its relaxed geometry at the PBE-GGA level of DFT.

a b c (Å): 5.3503 5.3503 5.3503
angles (deg): 90.00 90.00 90.00
Fractional coordinates of all 5 atoms:
Bi1 0.0000 0.0000 0.5000
Bi2 0.0000 0.5000 0.0000
Bi3 0.5000 0.0000 0.0000
W1 0.0000 0.0000 0.0000
Se1 0.5000 0.5000 0.5000

Properties
DOS(E_F)	2.60	states/eV/f.u.
raw formation energy	626	meV/atom
spin magnetization	0.00	μB/atom
excess energy over the best structure of this formula in the dataset	0.0	kJ/mol of atoms
mass density	9.65	Mg/m³
uncorrected energy	-0.1834	Ha/atom
space group	Pm-3m, No. 221

***

Record 7
Computed, not measured: crystalline LiMnTe2 at its relaxed geometry at the PBE-GGA level of DFT.

a b c (Å): 4.0428 4.0428 5.6462
angles (deg): 90.00 90.00 90.00
Fractional coordinates of all 4 atoms:
Li1 0.0000 0.0000 0.0000
Mn1 0.5000 0.5000 0.4973
Te1 0.0000 0.0000 0.4995
Te2 0.5000 0.5000 0.9981

Properties
DOS(E_F)	2.48	states/eV/f.u.
raw formation energy	-380	meV/atom
spin magnetization	1.01	μB/atom
mass density	5.71	Mg/m³
uncorrected energy	-0.1735	Ha/atom
space group	P4mm, No. 99

***

Record 8
Computed, not measured: crystalline Tb2HoIrO8 at its relaxed geometry at the PBE-GGA level of DFT.

a b c (Å): 5.0533 5.0533 6.7883
angles (deg): 90.00 90.00 90.66
Fractional coordinates of all 12 atoms:
Tb1 0.0000 0.0000 0.2481
Tb2 0.0000 0.0000 0.7519
Ho1 0.5000 0.5000 0.0000
Ir1 0.5000 0.5000 0.5000
O1 0.1941 0.1941 0.0000
O2 0.2324 0.2324 0.5000
O3 0.3179 0.6821 0.2881
O4 0.3179 0.6821 0.7119
O5 0.6821 0.3179 0.2881
O6 0.6821 0.3179 0.7119
O7 0.7676 0.7676 0.5000
O8 0.8059 0.8059 0.0000

Properties
DOS(E_F)	5.54	states/eV/f.u.
raw formation energy	-2354	meV/atom
spin magnetization	0.13	μB/atom
mass density	7.69	Mg/m³
uncorrected energy	-0.2775	Ha/atom
space group	Cmmm, No. 65

***

Record 9
Computed, not measured: crystalline La3AuO at its relaxed geometry at the PBE-GGA level of DFT.

a b c (Å): 8.5147 8.5147 8.5147
angles (deg): 50.12 50.12 50.12
Fractional coordinates of all 10 atoms:
La1 0.0628 0.7500 0.4372
La2 0.2500 0.5628 0.9372
La3 0.4372 0.0628 0.7500
La4 0.5628 0.9372 0.2500
La5 0.7500 0.4372 0.0628
La6 0.9372 0.2500 0.5628
Au1 0.0000 0.0000 0.0000
Au2 0.5000 0.5000 0.5000
O1 0.2500 0.2500 0.2500
O2 0.7500 0.7500 0.7500

Properties
DOS(E_F)	8.94	states/eV/f.u.
raw formation energy	-1262	meV/atom
spin magnetization	0.00	μB/atom
excess energy over the best structure of this formula in the dataset	19.1	kJ/mol of atoms
mass density	6.25	Mg/m³
uncorrected energy	-0.2156	Ha/atom
space group	R-3c, No. 167

***

Record 10
Computed, not measured: crystalline Y6MgZn2 at its relaxed geometry at the PBE-GGA level of DFT.

a b c (Å): 8.6684 8.6684 8.6684
angles (deg): 111.79 109.35 107.30
Fractional coordinates of all 18 atoms:
Y1 0.0309 0.8162 0.2147
Y2 0.2417 0.5353 0.2936
Y3 0.2417 0.9481 0.7064
Y4 0.2735 0.3170 0.5905
Y5 0.2735 0.6830 0.9565
Y6 0.3985 0.1838 0.2147
Y7 0.6015 0.8162 0.7853
Y8 0.7265 0.3170 0.0435
Y9 0.7265 0.6830 0.4095
Y10 0.7583 0.0519 0.2936
Y11 0.7583 0.4647 0.7064
Y12 0.9691 0.1838 0.7853
Mg1 0.0000 0.5000 0.5000
Mg2 0.5000 0.0000 0.5000
Zn1 0.0000 0.1360 0.1360
Zn2 0.0000 0.8640 0.8640
Zn3 0.3765 0.3765 0.0000
Zn4 0.6235 0.6235 0.0000

Properties
DOS(E_F)	10.42	states/eV/f.u.
spin magnetization	0.00	μB/atom
formation energy	-0.16	eV/atom
mass density	4.57	Mg/m³
uncorrected energy	-0.1811	Ha/atom
space group	Immm, No. 71

***

Record 11
Computed, not measured: crystalline FePCl at its relaxed geometry at the PBE-GGA level of DFT.

a b c (Å): 3.2551 3.5207 12.1423
angles (deg): 90.00 90.00 90.00
Fractional coordinates of all 6 atoms:
Fe1 0.0000 0.0000 0.2056
Fe2 0.0000 0.0000 0.7944
P1 0.5000 0.0000 0.0860
P2 0.5000 0.0000 0.9140
Cl1 0.5000 0.0000 0.3404
Cl2 0.5000 0.0000 0.6596

Properties
DOS(E_F)	3.09	states/eV/f.u.
raw formation energy	-58	meV/atom
spin magnetization	0.78	μB/atom
excess energy over the best structure of this formula in the dataset	34.1	kJ/mol of atoms
mass density	2.92	Mg/m³
uncorrected energy	-0.1947	Ha/atom
space group	Pmmm, No. 47

***

Record 12
Computed, not measured: crystalline PmNd2ScBi5 at its relaxed geometry at the PBE-GGA level of DFT.

a b c (Å): 5.6571 5.6571 11.4237
angles (deg): 90.00 90.00 90.00
Fractional coordinates of all 9 atoms:
Pm1 0.0000 0.0000 0.0000
Nd1 0.5000 0.5000 0.2003
Nd2 0.5000 0.5000 0.7997
Sc1 0.0000 0.0000 0.5000
Bi1 0.0000 0.0000 0.2618
Bi2 0.0000 0.0000 0.7382
Bi3 0.0000 0.5000 0.0000
Bi4 0.5000 0.0000 0.0000
Bi5 0.5000 0.5000 0.5000

Properties
DOS(E_F)	7.16	states/eV/f.u.
spin magnetization	0.00	μB/atom
formation energy	0.00	eV/atom
mass density	6.92	Mg/m³
uncorrected energy	-0.1635	Ha/atom
space group	P4/mmm, No. 123

***

Repeat the seventh record exactly.
Computed, not measured: crystalline LiMnTe2 at its relaxed geometry at the PBE-GGA level of DFT.

a b c (Å): 4.0428 4.0428 5.6462
angles (deg): 90.00 90.00 90.00
Fractional coordinates of all 4 atoms:
Li1 0.0000 0.0000 0.0000
Mn1 0.5000 0.5000 0.4973
Te1 0.0000 0.0000 0.4995
Te2 0.5000 0.5000 0.9981

Properties
DOS(E_F)	2.48	states/eV/f.u.
raw formation energy	-380	meV/atom
spin magnetization	1.01	μB/atom
mass density	5.71	Mg/m³
uncorrected energy	-0.1735	Ha/atom
space group	P4mm, No. 99

***

> What is the DOS(E_F) in the first record?

2.31 states/eV/f.u.